Density functional theory data (PBE) for crystalline AcPr5SmY2 at its relaxed geometry.

**Mass density**: 6255 kg/m3
**DOS(E_F)**: 23.29 states/eV per cell
**ΔE_f**: 13 kJ/mol of atoms
**V**: 37.16 Å³ per atom
**Space-group type**: Cmc2_1, No. 36

Unit cell a=12.659 b=12.659 c=9.578 alpha=90.00 beta=90.00 gamma=154.16
Positions (direct):
Ac1 0.103 0.897 0.500
Ac2 0.897 0.103 0.000
Pr1 0.024 0.976 0.825
Pr2 0.105 0.895 0.103
Pr3 0.190 0.810 0.798
Pr4 0.241 0.759 0.433
Pr5 0.492 0.508 0.606
Pr6 0.508 0.492 0.106
Pr7 0.759 0.241 0.933
Pr8 0.810 0.190 0.298
Pr9 0.895 0.105 0.603
Pr10 0.976 0.024 0.325
Sm1 0.264 0.736 0.108
Sm2 0.736 0.264 0.608
Y1 0.328 0.672 0.747
Y2 0.388 0.612 0.356
Y3 0.612 0.388 0.856
Y4 0.672 0.328 0.247